CuH2PdCl: relaxed, PBE.

a = 3.419 Å, b = 5.651 Å, c = 3.419 Å
α = 90.00°, β = 90.00°, γ = 90.00°
Positions (direct):
1 H 0.000 0.000 0.500
2 Cl 0.500 0.500 0.500
3 Pd 0.000 0.500 0.000
4 Cu 0.000 0.000 0.000
5 H 0.500 0.000 0.000

Results
ΔE to the lowest computed polymorph = 0 meV/atom
Uncorrected energy = -3.31 eV/atom
Theoretical density = 5.2 g/cm3
SG = P4/mmm